RbPmTlSe3 | PBE-GGA | optimized geometry

CIF file:
```
data_RbPmTlSe3
_chemical_formula_sum 'Rb2 Pm2 Tl2 Se6'
_cell_length_a 9.013
_cell_length_b 4.274
_cell_length_c 11.479
_cell_angle_alpha 90.00
_cell_angle_beta 107.30
_cell_angle_gamma 90.00
_symmetry_space_group_name_H-M 'P 1'
_symmetry_Int_Tables_number 1
loop_
_symmetry_equiv_pos_as_xyz
'x,y,z'
loop_
_atom_site_label
_atom_site_type_symbol
_atom_site_fract_x
_atom_site_fract_y
_atom_site_fract_z
_atom_site_occupancy
Rb1 Rb 0.233 0.250 0.267 1
Rb2 Rb 0.767 0.750 0.733 1
Pm1 Pm 0.346 0.750 0.857 1
Pm2 Pm 0.654 0.250 0.143 1
Tl1 Tl 0.133 0.250 0.577 1
Tl2 Tl 0.867 0.750 0.423 1
Se1 Se 0.103 0.250 0.810 1
Se2 Se 0.340 0.750 0.589 1
Se3 Se 0.423 0.750 0.121 1
Se4 Se 0.577 0.250 0.879 1
Se5 Se 0.660 0.250 0.411 1
Se6 Se 0.897 0.750 0.190 1
```

Computed properties:
Symmetry: P2_1/m, No. 11
Formation energy (no corrections) (eV/atom): -1.166